Entry from Alexandria via LeMat-Bulk: a relaxed LiAs2Pt crystal (PBE).

abc: 7.754 7.754 6.043
angles: 50.09 50.09 90.00
Element x y z (fractional)
As 0.687 0.125 0.250
As 0.063 0.625 0.250
As 0.375 0.313 0.750
As 0.875 0.937 0.750
Pt 0.000 0.000 0.000
Pt 0.750 0.250 0.500
Li 0.500 0.500 0.000
Li 0.250 0.750 0.500

Output
DFT total energy = -18.48 eV per formula unit
ΔH_f (0 K) = -0.3077 eV per atom
Spin magnetization = 0.0 μB/cell
Space group = I-42d, No. 122